No. 1
Pm5Te2N: optimized geometry, PBE.

Cell lengths 5.8433, 6.3992, 14.5373 Å; angles 90.00, 90.00, 117.17 degrees
With the nearest neighbours (Å) after each atom.
Fractional positions:
Pm: 0.3707 0.7413 0.3708  1 N 2.39
Pm: 0.9299 0.8597 0.8647  1 N 2.45
Pm: 0.0701 0.1403 0.3647  1 N 2.45
Pm: 0.2973 0.5947 0.7500  2 N 2.94, 2 Te 3.09
Pm: 0.3707 0.7413 0.1292  1 N 2.39
Pm: 0.9299 0.8597 0.6353  1 N 2.45
Pm: 0.6293 0.2587 0.6292  1 N 2.39
Pm: 0.0701 0.1403 0.1353  1 N 2.45
Pm: 0.7027 0.4053 0.2500  2 N 2.94, 2 Te 3.09
Pm: 0.6293 0.2587 0.8708  1 N 2.39
N: 0.7720 0.5440 0.7500  4 Pm 2.39-2.45
N: 0.2280 0.4560 0.2500  4 Pm 2.39-2.45
Te: 0.1883 0.3765 0.5555  6 Pm 3.08-3.39
Te: 0.8117 0.6235 0.4445  6 Pm 3.08-3.39
Te: 0.8117 0.6235 0.0555  6 Pm 3.08-3.39
Te: 0.1883 0.3765 0.9445  6 Pm 3.08-3.39

Properties
The theoretical density is 6.8 g cm⁻³.

No. 2
Pm3TeN: optimized geometry, PBE.

Cell lengths 3.7802, 7.5341, 10.2513 Å; angles 90.00, 100.62, 90.00 degrees
With the nearest neighbours (Å) after each atom.
Fractional positions:
Pm: 0.9034 0.3695 0.8067  2 N 2.46
Pm: 0.2261 0.1346 0.4522  2 N 2.58
Pm: 0.7739 0.6346 0.5478  2 N 2.58
Pm: 0.4256 0.7656 0.8513  1 N 2.39
Pm: 0.0966 0.8695 0.1933  2 N 2.46
Pm: 0.5744 0.2656 0.1487  1 N 2.39
Te: 0.1594 0.5033 0.3188  6 Pm 3.04-3.14
Te: 0.8406 0.0033 0.6812  6 Pm 3.04-3.14
N: 0.6503 0.0211 0.3006  5 Pm 2.39-2.58
N: 0.3497 0.5211 0.6994  5 Pm 2.39-2.58

Properties
The theoretical density is 6.7 g cm⁻³. The energy above the most stable polymorph in this dataset comes out at 44 meV per atom.

No. 3
Pm3TeN: optimized geometry, PBE.

Cell lengths 4.9512, 4.9512, 4.9512 Å; angles 90.00, 90.00, 90.00 degrees
With the nearest neighbours (Å) after each atom.
Fractional positions:
Te: 0.5000 0.5000 0.5000  12 Pm 3.50
Pm: 0.0000 0.5000 0.0000  2 N 2.48
Pm: 0.0000 0.0000 0.5000  2 N 2.48
Pm: 0.5000 0.0000 0.0000  2 N 2.48
N: 0.0000 0.0000 0.0000  6 Pm 2.48

Properties
The theoretical density is 7.9 g cm⁻³. The energy above the most stable polymorph in this dataset comes out at 0 meV per atom.

No. 4
Pm4TeN2: optimized geometry, PBE.

Cell lengths 7.5354, 7.5353, 7.5366 Å; angles 109.04, 109.03, 110.34 degrees
With the nearest neighbours (Å) after each atom.
Fractional positions:
Te: 0.2500 0.7500 0.5000  4 Pm 2.97
Te: 0.0000 0.0000 0.0000  4 Pm 2.97
Pm: 0.7786 0.1025 0.6762  3 N 2.43-2.68
Pm: 0.8976 0.2214 0.3239  3 N 2.43-2.68
Pm: 0.4714 0.6475 0.8238  3 N 2.43-2.68
Pm: 0.3525 0.1763 0.8239  3 N 2.43-2.68
Pm: 0.4263 0.1024 0.3238  3 N 2.43-2.68
Pm: 0.8236 0.6476 0.1762  3 N 2.43-2.68
Pm: 0.8975 0.5737 0.6761  3 N 2.43-2.68
Pm: 0.3525 0.5286 0.1761  3 N 2.43-2.68
N: 0.6250 0.8750 0.2500  6 Pm 2.43-2.68
N: 0.1250 0.3750 0.7500  6 Pm 2.43-2.68
N: 0.6250 0.3750 0.2500  6 Pm 2.43-2.68
N: 0.6250 0.3750 0.7500  6 Pm 2.43-2.68

Properties
The theoretical density is 7.4 g cm⁻³.

Q: Which energy relative to the elements, uncorrected values were calculated for the entries above? A: -0.852, -0.881, -0.925, -0.963, in eV/atom.
Q: Which DFT total energy values were calculated for the entries above? A: -5.65, -6.03, -6.07, -6.51, in eV/atom.